Record 1
Density functional theory data (PBE-GGA) for a geometry-optimized Pm8ZnRu2 structure.

Properties
E above lowest polymorph: 0.770 eV per formula unit
DFT formation energy: -0.086 eV/atom
space-group type: Cm

Lattice parameters (Å, degrees): 5.726 7.990 7.990 114.04 98.41 98.41
Fractional coordinates of all 11 atoms:
1 Pm 0.568 0.335 0.080
2 Pm 0.568 0.080 0.335
3 Pm 0.192 0.387 0.387
4 Pm 0.000 0.246 0.764
5 Pm 0.000 0.764 0.246
6 Pm 0.803 0.616 0.616
7 Pm 0.431 0.928 0.674
8 Pm 0.431 0.674 0.928
9 Zn 0.014 0.000 0.000
10 Ru 0.496 0.703 0.301
11 Ru 0.496 0.301 0.703

Record 2
Density functional theory data (PBE-GGA) for a geometry-optimized Pm5Zn4Ru structure.

Properties
DFT formation energy: -0.291 eV/atom
space-group type: P4/mmm

Lattice parameters (Å, degrees): 3.600 3.600 18.460 90.00 90.00 90.00
Fractional coordinates of all 10 atoms:
1 Pm 0.500 0.500 0.091
2 Pm 0.500 0.500 0.298
3 Pm 0.500 0.500 0.500
4 Pm 0.500 0.500 0.702
5 Pm 0.500 0.500 0.909
6 Zn 0.000 0.000 0.199
7 Zn 0.000 0.000 0.399
8 Zn 0.000 0.000 0.601
9 Zn 0.000 0.000 0.801
10 Ru 0.000 0.000 0.000

Record 3
Density functional theory data (PBE-GGA) for a geometry-optimized Pm2Zn5Ru5 structure.

Properties
DFT formation energy: -0.164 eV/atom
space-group type: Pmmm

Lattice parameters (Å, degrees): 4.224 5.213 9.396 90.00 90.00 90.00
Fractional coordinates of all 12 atoms:
1 Pm 0.000 0.500 0.000
2 Pm 0.000 0.000 0.500
3 Zn 0.000 0.500 0.333
4 Zn 0.000 0.000 0.829
5 Zn 0.000 0.000 0.171
6 Zn 0.000 0.500 0.667
7 Zn 0.500 0.000 0.000
8 Ru 0.500 0.500 0.500
9 Ru 0.500 0.755 0.250
10 Ru 0.500 0.245 0.750
11 Ru 0.500 0.245 0.250
12 Ru 0.500 0.755 0.750

Record 4
Density functional theory data (PBE-GGA) for a geometry-optimized Pm3Zn8Ru3 structure.

Properties
DFT formation energy: -0.276 eV/atom
space-group type: Immm

Lattice parameters (Å, degrees): 4.335 8.193 8.193 68.58 74.66 74.66
Fractional coordinates of all 14 atoms:
1 Pm 0.500 0.500 0.500
2 Pm 0.803 0.197 0.197
3 Pm 0.197 0.803 0.803
4 Zn 0.627 0.091 0.655
5 Zn 0.373 0.909 0.345
6 Zn 0.627 0.655 0.091
7 Zn 0.373 0.345 0.909
8 Zn 0.846 0.797 0.511
9 Zn 0.154 0.203 0.489
10 Zn 0.846 0.511 0.797
11 Zn 0.154 0.489 0.203
12 Ru 0.500 0.000 0.000
13 Ru 0.000 0.829 0.171
14 Ru 0.000 0.171 0.829